# 1
This record from Alexandria describes a PBEsol-optimized structure of TiZnRu2Se. The functional is SCAN.

```
TiZnRu2Se
1.0
4.461 0.000 0.000
0.000 4.461 0.000
0.000 0.000 4.518
Ti Zn Ru Se
1 1 2 1
Direct
0.000 0.000 0.000
0.500 0.500 0.000
0.000 0.500 0.500
0.500 0.000 0.500
0.000 0.000 0.500
```



# 2
TlRuSe2 | Alexandria | SCAN | PBEsol geometry; energy above the lowest structure with this stoichiometry = 276 meV per atom
1.0
-1.505 2.567 5.283
1.505 -2.567 5.283
1.505 2.567 -5.283
Tl Ru Se
1 1 2
Direct
0.000 0.000 0.000
0.500 0.500 0.000
0.313 0.813 0.500
0.687 0.187 0.500



# 3
TlRuSe2 | Alexandria | SCAN | PBEsol geometry; energy above the lowest structure with this stoichiometry = 5 meV per atom
1.0
1.796 1.037 8.703
-1.796 1.037 8.703
0.000 -2.074 8.703
Tl Ru Se
1 1 2
Direct
0.000 0.000 0.000
0.500 0.500 0.500
0.116 0.116 0.116
0.884 0.884 0.884



# 4
TlRuSe2 | Alexandria | SCAN | PBEsol geometry; energy above the lowest structure with this stoichiometry = 0 meV per atom
1.0
4.904 0.000 0.000
0.000 3.666 0.000
-2.421 0.000 4.791
Tl Ru Se
1 1 2
Direct
0.000 0.000 0.000
0.500 0.000 0.500
0.288 0.500 0.659
0.712 0.500 0.341



# 5
This record from Alexandria describes a PBEsol-optimized structure of TlRu3Se. The functional is SCAN.

```
TlRu3Se
1.0
4.929 0.000 0.000
0.000 4.929 0.000
0.000 0.000 4.929
Tl Ru Se
1 3 1
Direct
0.000 0.000 0.000
0.000 0.000 0.500
0.000 0.500 0.000
0.500 0.000 0.000
0.500 0.500 0.500
```



# 6
TlRuSe2 | Alexandria | SCAN | PBEsol geometry; energy above the lowest structure with this stoichiometry = 923 meV per atom
1.0
-2.142 2.142 4.064
2.142 -2.142 4.064
2.142 2.142 -4.064
Tl Ru Se
1 1 2
Direct
0.000 0.000 0.000
0.750 0.250 0.500
0.250 0.750 0.500
0.500 0.500 0.000



# 7
This record from Alexandria describes a PBEsol-optimized structure of RuWSe3. The functional is SCAN.

```
RuWSe3
1.0
4.834 0.000 0.000
0.000 4.834 0.000
0.000 0.000 4.834
Ru W Se
1 1 3
Direct
0.000 0.000 0.000
0.500 0.500 0.500
0.000 0.500 0.500
0.500 0.000 0.500
0.500 0.500 0.000
```



# 8
RuWSe2 | Alexandria | SCAN | PBEsol geometry; energy above the lowest structure with this stoichiometry = 8 meV per atom
1.0
1.541 -2.364 0.000
1.541 2.364 0.000
0.000 0.000 9.563
Ru W Se
1 1 2
Direct
0.000 0.000 0.000
0.500 0.500 0.213
0.000 0.000 0.437
0.500 0.500 0.778



# 9
RuWSe2 | Alexandria | SCAN | PBEsol geometry; energy above the lowest structure with this stoichiometry = 0 meV per atom
1.0
3.106 0.000 0.000
0.000 3.106 0.000
0.000 0.000 6.186
Ru W Se
1 1 2
Direct
0.000 0.000 0.000
0.000 0.000 0.500
0.500 0.500 0.254
0.500 0.500 0.746



# 10
This record from Alexandria describes a PBEsol-optimized structure of RuW2Se. The functional is SCAN.

```
RuW2Se
1.0
4.687 -1.486 0.000
4.687 1.486 0.000
-0.444 0.000 4.403
Ru W Se
1 2 1
Direct
0.000 0.000 0.000
0.265 0.265 0.766
0.735 0.735 0.234
0.500 0.500 0.500
```



# 11
RuWSe2 | Alexandria | SCAN | PBEsol geometry; energy above the lowest structure with this stoichiometry = 314 meV per atom
1.0
2.585 -3.019 0.000
2.585 3.019 0.000
0.000 0.000 4.252
Ru W Se
1 1 2
Direct
0.000 0.000 0.000
0.500 0.500 0.000
0.250 0.750 0.500
0.750 0.250 0.500



# 12
RuWSe2 | Alexandria | SCAN | PBEsol geometry; energy above the lowest structure with this stoichiometry = 314 meV per atom
1.0
-1.974 1.974 3.984
1.974 -1.974 3.984
1.974 1.974 -3.984
Ru W Se
1 1 2
Direct
0.000 0.000 0.000
0.250 0.750 0.500
0.500 0.500 0.000
0.750 0.250 0.500



# 13
This record from Alexandria describes a PBEsol-optimized structure of YRu2Se2. The functional is SCAN.

```
YRu2Se2
1.0
-2.007 2.007 5.573
2.007 -2.007 5.573
2.007 2.007 -5.573
Y Ru Se
1 2 2
Direct
0.000 0.000 0.000
0.250 0.750 0.500
0.750 0.250 0.500
0.371 0.371 0.000
0.629 0.629 0.000
```



# 14
This record from Alexandria describes a PBEsol-optimized structure of Zn4RuSe. The functional is SCAN.

```
Zn4RuSe
1.0
0.000 3.497 3.497
3.497 0.000 3.497
3.497 3.497 0.000
Zn Ru Se
4 1 1
Direct
0.376 0.376 0.376
0.376 0.376 0.873
0.376 0.873 0.376
0.873 0.376 0.376
0.750 0.750 0.750
0.000 0.000 0.000
```



# 15
ZnRuSe | Alexandria | SCAN | PBEsol geometry; energy above the lowest structure with this stoichiometry = 464 meV per atom
1.0
0.000 2.918 2.918
2.918 0.000 2.918
2.918 2.918 0.000
Zn Ru Se
1 1 1
Direct
0.000 0.000 0.000
0.500 0.500 0.500
0.750 0.750 0.750



# 16
ZnRuSe | Alexandria | SCAN | PBEsol geometry; energy above the lowest structure with this stoichiometry = 0 meV per atom
1.0
-1.469 1.469 5.542
1.469 -1.469 5.542
1.469 1.469 -5.542
Zn Ru Se
1 1 1
Direct
0.000 0.000 0.000
0.654 0.654 0.000
0.279 0.279 0.000



# 17
This record from Alexandria describes a PBEsol-optimized structure of Zn2Ru2Se. The functional is SCAN.

```
Zn2Ru2Se
1.0
-1.720 1.720 6.891
1.720 -1.720 6.891
1.720 1.720 -6.891
Zn Ru Se
2 2 1
Direct
0.098 0.098 0.000
0.902 0.902 0.000
0.250 0.750 0.500
0.750 0.250 0.500
0.500 0.500 0.000
```



# 18
This record from Alexandria describes a PBEsol-optimized structure of ZrRuSe4. The functional is SCAN.

```
ZrRuSe4
1.0
0.000 3.813 3.813
3.813 0.000 3.813
3.813 3.813 0.000
Zr Ru Se
1 1 4
Direct
0.000 0.000 0.000
0.250 0.250 0.250
0.127 0.624 0.624
0.624 0.127 0.624
0.624 0.624 0.127
0.624 0.624 0.624
```



# 19
This record from Alexandria describes a PBEsol-optimized structure of ZrRu2Se. The functional is SCAN.

```
ZrRu2Se
1.0
-1.927 1.927 4.167
1.927 -1.927 4.167
1.927 1.927 -4.167
Zr Ru Se
1 2 1
Direct
0.000 0.000 0.000
0.250 0.750 0.500
0.750 0.250 0.500
0.500 0.500 0.000
```



# 20
This record from Alexandria describes a PBEsol-optimized structure of SiRu3. The functional is SCAN.

```
SiRu3
1.0
4.312 0.000 0.000
0.000 4.312 0.000
0.000 0.000 2.823
Si Ru
1 3
Direct
0.000 0.000 0.000
0.000 0.500 0.500
0.500 0.000 0.500
0.500 0.500 0.000
```



# 21
Si3Ru5 | Alexandria | SCAN | PBEsol geometry; energy above the lowest structure with this stoichiometry = 71 meV per atom
1.0
-4.558 4.558 2.479
4.558 -4.558 2.479
4.558 4.558 -2.479
Si Ru
6 10
Direct
0.165 0.665 0.830
0.250 0.250 0.000
0.335 0.165 0.500
0.665 0.835 0.500
0.750 0.750 0.000
0.835 0.335 0.170
0.076 0.216 0.292
0.216 0.924 0.140
0.250 0.750 0.500
0.284 0.424 0.708
0.424 0.716 0.140
0.576 0.284 0.860
0.716 0.576 0.292
0.750 0.250 0.500
0.784 0.076 0.860
0.924 0.784 0.708



# 22
SiRu4 | Alexandria | SCAN | PBEsol geometry; energy above the lowest structure with this stoichiometry = 906 meV per atom
1.0
-2.687 2.687 2.687
2.687 -2.687 2.687
2.687 2.687 -2.687
Si Ru
1 4
Direct
0.000 0.000 0.000
0.000 0.000 0.500
0.000 0.500 0.000
0.500 0.000 0.000
0.500 0.500 0.500



# 23
This record from Alexandria describes a PBEsol-optimized structure of Si2Ru. The functional is SCAN.

```
Si2Ru
1.0
5.038 -4.031 0.000
5.038 4.031 0.000
0.000 0.000 8.149
Si Ru
16 8
Direct
0.075 0.178 0.224
0.094 0.649 0.057
0.149 0.594 0.557
0.178 0.075 0.776
0.322 0.425 0.276
0.351 0.906 0.057
0.406 0.851 0.557
0.425 0.322 0.724
0.575 0.678 0.276
0.594 0.149 0.443
0.649 0.094 0.943
0.678 0.575 0.724
0.822 0.925 0.224
0.851 0.406 0.443
0.906 0.351 0.943
0.925 0.822 0.776
0.187 0.813 0.318
0.214 0.214 0.500
0.286 0.286 0.000
0.313 0.687 0.818
0.687 0.313 0.182
0.714 0.714 0.000
0.786 0.786 0.500
0.813 0.187 0.682
```



# 24
Si3Ru5 | Alexandria | SCAN | PBEsol geometry; energy above the lowest structure with this stoichiometry = 0 meV per atom
1.0
5.198 0.000 0.000
0.000 9.763 0.000
0.000 0.000 4.011
Si Ru
6 10
Direct
0.000 0.000 0.000
0.134 0.364 0.500
0.366 0.864 0.500
0.500 0.500 0.000
0.634 0.136 0.500
0.866 0.636 0.500
0.000 0.500 0.000
0.157 0.772 0.000
0.166 0.110 0.500
0.334 0.610 0.500
0.343 0.272 0.000
0.500 0.000 0.000
0.657 0.728 0.000
0.666 0.390 0.500
0.834 0.890 0.500
0.843 0.228 0.000



# 25
This record from Alexandria describes a PBEsol-optimized structure of Si3Ru. The functional is SCAN.

```
Si3Ru
1.0
2.819 0.000 0.000
0.000 2.819 0.000
0.000 0.000 6.853
Si Ru
3 1
Direct
0.000 0.000 0.000
0.500 0.500 0.280
0.500 0.500 0.720
0.000 0.000 0.500
```



# 26
Si3Ru5 | Alexandria | SCAN | PBEsol geometry; energy above the lowest structure with this stoichiometry = 35 meV per atom
1.0
6.818 0.000 0.000
-3.409 5.904 0.000
0.000 0.000 5.168
Si Ru
6 10
Direct
0.000 0.398 0.250
0.000 0.602 0.750
0.398 0.000 0.250
0.398 0.398 0.750
0.602 0.000 0.750
0.602 0.602 0.250
0.000 0.247 0.750
0.000 0.753 0.250
0.247 0.000 0.750
0.247 0.247 0.250
0.333 0.667 0.000
0.333 0.667 0.500
0.667 0.333 0.000
0.667 0.333 0.500
0.753 0.000 0.250
0.753 0.753 0.750



# 27
This record from Alexandria describes a PBEsol-optimized structure of Si7Ru. The functional is SCAN.

```
Si7Ru
1.0
0.000 3.772 3.772
3.772 0.000 3.772
3.772 3.772 0.000
Si Ru
7 1
Direct
0.000 0.000 0.000
0.000 0.000 0.500
0.000 0.500 0.000
0.000 0.500 0.500
0.500 0.000 0.000
0.500 0.000 0.500
0.500 0.500 0.000
0.500 0.500 0.500
```



| no. | magnetic moment (μB/atom) | mass density (Mg/m³) | raw formation energy (eV per atom) |
| --- | --- | --- | --- |
| 1 | 0.0002 | 7.28 | 0.63 |
| 2 | 0.0000 | 9.43 | 0.11 |
| 3 | 0.3365 | 7.91 | -0.16 |
| 4 | 0.0004 | 8.93 | -0.16 |
| 5 | 1.3883 | 8.13 | 2.28 |
| 6 | 0.0000 | 10.32 | 0.76 |
| 7 | 0.6538 | 7.67 | 1.03 |
| 8 | 0.0000 | 10.56 | 0.46 |
| 9 | 0.0000 | 12.32 | 0.45 |
| 10 | 0.0000 | 14.83 | 0.45 |
| 11 | 0.0000 | 11.08 | 0.76 |
| 12 | 0.0000 | 11.85 | 0.76 |
| 13 | 0.0000 | 8.31 | -0.52 |
| 14 | 0.0000 | 8.58 | 0.20 |
| 15 | 0.4041 | 8.20 | 0.50 |
| 16 | 0.0000 | 8.51 | 0.03 |
| 17 | 0.0002 | 8.39 | 0.47 |
| 18 | 0.2910 | 7.61 | 0.82 |
| 19 | 0.0000 | 9.99 | -0.17 |
| 20 | 0.0010 | 10.48 | -0.01 |
| 21 | 0.0000 | 9.51 | -0.45 |
| 22 | 0.8119 | 9.25 | 0.82 |
| 23 | 0.0000 | 6.31 | -0.57 |
| 24 | 0.0000 | 9.62 | -0.52 |
| 25 | 0.0000 | 5.65 | 0.01 |
| 26 | 0.0000 | 9.41 | -0.49 |
| 27 | 0.0000 | 4.61 | 0.44 |